Cs2Hg3Se4 | Alexandria | GGA-PBE | optimized geometry; size of the total moment = 0.0000 μB per atom; total energy = -2.45 eV per atom; uncorrected formation energy = -0.6137 eV/atom; distance to the lowest polymorph of the same formula = 0.000 eV per atom; calculated density = 6.32 Mg/m³
1.0
10.2885 -0.0058 -0.0181
0.7046 10.2644 0.0181
-2.8707 -7.9432 5.8753
Cs Hg Se
4 6 8
direct
0.6190 0.2315 0.8505
0.3810 0.7685 0.1495
0.1190 0.2685 0.3875
0.8810 0.7315 0.6125
0.7500 0.7500 0.0000
0.2500 0.2500 0.0000
0.0797 0.7500 0.3297
0.4203 0.7500 0.6703
0.9203 0.2500 0.6703
0.5797 0.2500 0.3297
0.9925 0.6402 0.9151
0.7251 0.0774 0.0849
0.7749 0.8598 0.3523
0.5075 0.4226 0.6477
0.0075 0.3598 0.0849
0.2749 0.9226 0.9151
0.2251 0.1402 0.6477
0.4925 0.5774 0.3523


La2CeZrP4 | Alexandria | GGA-PBE | optimized geometry; size of the total moment = 0.0499 μB per atom; total energy = -7.23 eV per atom; calculated formation energy = -1.482 eV/atom; calculated density = 5.48 Mg/m³
1.0
-2.0896 -2.9297 1.8919
6.0206 -3.3153 1.5158
-1.5597 4.5090 5.2596
La Ce Zr P
2 1 1 4
direct
0.5000 0.0000 0.5000
0.0000 0.5000 0.5000
0.5000 0.5000 0.0000
0.0000 0.0000 0.0000
0.5000 0.2324 0.2244
0.5000 0.7676 0.7756
0.0000 0.2458 0.7708
0.0000 0.7542 0.2292


TaAlZnRu | Alexandria | GGA-PBE | optimized geometry; size of the total moment = 0.0000 μB per atom; total energy = -6.85 eV per atom; calculated formation energy = -0.315 eV/atom; calculated density = 10.30 Mg/m³
1.0
4.4025 0.0000 0.0000
2.2012 3.8126 0.0000
2.2012 1.2709 3.5946
Ru Zn Al Ta
1 1 1 1
direct
0.7500 0.7500 0.7500
0.2500 0.2500 0.2500
0.5000 0.5000 0.5000
0.0000 0.0000 0.0000


Tb2PH | Alexandria | GGA-PBE | optimized geometry; size of the total moment = 0.0000 μB per atom; total energy = -5.46 eV per atom; distance to the lowest polymorph of the same formula = 0.000 eV per atom; calculated density = 7.42 Mg/m³
1.0
-3.4714 -1.4190 -1.0884
-2.4143 -1.5144 2.6696
-4.4012 4.3592 1.3487
P Tb H
1 2 1
direct
0.0000 0.0000 0.0000
0.2466 0.2466 0.2602
0.7534 0.7534 0.7398
0.5000 0.5000 0.5000


ThMgTc | Alexandria | GGA-PBE | optimized geometry; size of the total moment = 0.0000 μB per atom; total energy = -6.53 eV per atom; calculated formation energy = -0.070 eV/atom; distance to the lowest polymorph of the same formula = 0.000 eV per atom; calculated density = 8.18 Mg/m³
1.0
3.8726 -0.0091 0.9082
-0.0349 3.8839 0.1883
-0.1796 -0.4625 9.5022
Th Mg Tc
2 2 2
direct
0.7083 0.9066 0.1318
0.5320 0.4066 0.4853
0.9129 0.9069 0.7218
0.3270 0.4066 0.8954
0.1727 0.4066 0.2035
0.0677 0.9066 0.4136


Ti2Nb5Mo4 | Alexandria | GGA-PBE | optimized geometry; size of the total moment = 0.0000 μB per atom; total energy = -10.04 eV per atom; calculated formation energy = -0.092 eV/atom; distance to the lowest polymorph of the same formula = 0.000 eV per atom; calculated density = 8.41 Mg/m³
1.0
3.0194 -0.1091 -1.1463
-0.3138 7.1639 -1.5094
-1.6436 -0.5069 9.3840
Ti Nb Mo
2 5 4
direct
0.7577 0.4495 0.1718
0.2423 0.5505 0.8282
0.9691 0.0946 0.6461
0.0309 0.9054 0.3539
0.6970 0.6406 0.4647
0.5000 0.0000 0.0000
0.3030 0.3594 0.5353
0.4070 0.1824 0.2713
0.8617 0.2743 0.9078
0.5930 0.8176 0.7287
0.1383 0.7257 0.0922


La2PmTl | Alexandria | GGA-PBE | optimized geometry; size of the total moment = 0.0000 μB per atom; total energy = -4.42 eV per atom; calculated formation energy = -0.172 eV/atom; distance to the lowest polymorph of the same formula = 0.054 eV per atom; calculated density = 7.70 Mg/m³
1.0
3.7484 0.0000 0.0000
0.0000 3.7484 0.0000
0.0000 0.0000 9.6288
Tl La Pm
1 2 1
direct
0.5000 0.5000 0.0000
0.0000 0.0000 0.7712
0.0000 0.0000 0.2288
0.5000 0.5000 0.5000


Ho8Co2Pt | Alexandria | GGA-PBE | optimized geometry; size of the total moment = 0.0000 μB per atom; total energy = -5.43 eV per atom; calculated formation energy = -0.260 eV/atom; calculated density = 9.61 Mg/m³
1.0
5.8275 0.1214 -0.9376
-1.8366 6.5801 -2.7701
-0.0655 -0.1092 7.3708
Ho Co Pt
8 2 1
direct
0.5811 0.3454 0.0794
0.5811 0.0794 0.3454
0.1737 0.3666 0.3666
0.9865 0.2218 0.7822
0.9865 0.7822 0.2218
0.7974 0.6366 0.6366
0.3858 0.9293 0.6630
0.3858 0.6630 0.9293
0.4872 0.6946 0.3149
0.4872 0.3149 0.6946
0.1472 0.0001 0.0001


TeMoSeN2 | Alexandria | GGA-PBE | optimized geometry; size of the total moment = 0.0000 μB per atom; total energy = -6.22 eV per atom; uncorrected formation energy = 0.6064 eV/atom; distance to the lowest polymorph of the same formula = 0.051 eV per atom; calculated density = 6.38 Mg/m³
1.0
3.9935 0.0000 0.0000
0.0000 3.9935 0.0000
0.0000 0.0000 5.3921
Mo Te Se N
1 1 1 2
direct
0.0000 0.0000 0.0000
0.5000 0.5000 0.5000
0.0000 0.0000 0.5000
0.0000 0.5000 0.0000
0.5000 0.0000 0.0000


Nb3AuN | Alexandria | GGA-PBE | optimized geometry; size of the total moment = 0.0000 μB per atom; total energy = -8.22 eV per atom; uncorrected formation energy = 0.1401 eV/atom; calculated density = 8.77 Mg/m³
1.0
-2.3149 0.3573 4.4961
0.3553 -5.0235 0.5821
5.4166 -1.5068 5.7668
Nb Au N
6 2 2
direct
0.1422 0.8877 0.2246
0.1123 0.8578 0.7754
0.1123 0.3669 0.7754
0.6331 0.8877 0.2246
0.2831 0.2831 0.4337
0.7169 0.7169 0.5663
0.6436 0.1436 0.7129
0.8564 0.3564 0.2871
0.0000 0.0000 0.0000
0.2500 0.7500 0.5000


LaTb6Sm12 | Alexandria | GGA-PBE | optimized geometry; size of the total moment = 0.0000 μB per atom; total energy = -4.56 eV per atom; calculated formation energy = 0.139 eV/atom; distance to the lowest polymorph of the same formula = 0.000 eV per atom; calculated density = 7.43 Mg/m³
1.0
8.5846 0.6998 0.8383
-0.6098 8.5915 0.8383
-0.6098 -0.7104 8.6030
La Tb Sm
1 6 12
direct
0.0000 0.0000 0.0000
0.7406 0.9032 0.3052
0.6948 0.2594 0.0968
0.0968 0.6948 0.2594
0.2594 0.0968 0.6948
0.3052 0.7406 0.9032
0.9032 0.3052 0.7406
0.7777 0.5391 0.4338
0.4338 0.7777 0.5391
0.5391 0.4338 0.7777
0.2223 0.4609 0.5662
0.5662 0.2223 0.4609
0.4609 0.5662 0.2223
0.0147 0.2005 0.3599
0.7995 0.6401 0.9853
0.6401 0.9853 0.7995
0.9853 0.7995 0.6401
0.2005 0.3599 0.0147
0.3599 0.0147 0.2005


GaI2NO | Alexandria | GGA-PBE | optimized geometry; size of the total moment = 0.0000 μB per atom; total energy = -2.89 eV per atom; uncorrected formation energy = 0.9927 eV/atom; distance to the lowest polymorph of the same formula = 0.366 eV per atom; calculated density = 5.85 Mg/m³
1.0
-1.7590 3.3781 -3.5399
-4.2975 -2.8652 -0.5988
-1.6711 1.9451 2.6865
I O Ga N
2 1 1 1
direct
0.0000 0.5000 0.0000
0.5000 0.0000 0.0000
0.0000 0.0000 0.5000
0.5000 0.5000 0.5000
0.0000 0.0000 0.0000


Copy entry 1 word for word.
Cs2Hg3Se4 | Alexandria | GGA-PBE | optimized geometry; size of the total moment = 0.0000 μB per atom; total energy = -2.45 eV per atom; uncorrected formation energy = -0.6137 eV/atom; distance to the lowest polymorph of the same formula = 0.000 eV per atom; calculated density = 6.32 Mg/m³
1.0
10.2885 -0.0058 -0.0181
0.7046 10.2644 0.0181
-2.8707 -7.9432 5.8753
Cs Hg Se
4 6 8
direct
0.6190 0.2315 0.8505
0.3810 0.7685 0.1495
0.1190 0.2685 0.3875
0.8810 0.7315 0.6125
0.7500 0.7500 0.0000
0.2500 0.2500 0.0000
0.0797 0.7500 0.3297
0.4203 0.7500 0.6703
0.9203 0.2500 0.6703
0.5797 0.2500 0.3297
0.9925 0.6402 0.9151
0.7251 0.0774 0.0849
0.7749 0.8598 0.3523
0.5075 0.4226 0.6477
0.0075 0.3598 0.0849
0.2749 0.9226 0.9151
0.2251 0.1402 0.6477
0.4925 0.5774 0.3523